Entry 1:
Computed, not measured: an optimized crystal structure of Pm2Ga4Cu3Si at the PBE level of DFT.

Cell lengths 4.149, 4.149, 10.413 Å; angles 90.00, 90.00, 90.00 degrees
Space group P-4m2 (No. 115)
One atom of each set of equivalent atoms:
1 Pm 0.000 0.500 0.249 x2
2 Ga 0.000 0.000 0.000 x1
3 Ga 0.000 0.500 0.640 x2
4 Ga 0.500 0.500 0.000 x1
5 Cu 0.000 0.500 0.869 x2
6 Cu 0.500 0.500 0.500 x1
7 Si 0.000 0.000 0.500 x1

Summary:
As for the volume: 179.22 Å³/f.u. For the uncorrected formation energy, the calculation gives -0.46 eV/atom. Its total energy is -43.93 eV per cell.


Entry 2:
Computed, not measured: an optimized crystal structure of PmSmGaCu at the PBE level of DFT.

Cell lengths 7.245, 7.245, 7.245 Å; angles 90.00, 90.00, 90.00 degrees
Space group F-43m (No. 216)
One atom of each set of equivalent atoms:
1 Pm 0.000 0.000 0.000 x4
2 Sm 0.000 0.000 0.500 x4
3 Ga 0.250 0.250 0.750 x4
4 Cu 0.250 0.250 0.250 x4

Summary:
As for the volume: 95.06 Å³/f.u. The value obtained for the formation energy is -0.358 eV/atom. Its total energy is -72.11 eV per cell.


Entry 3:
Computed, not measured: an optimized crystal structure of PmSm2Ga2Cu2 at the PBE level of DFT.

Cell lengths 4.4378, 4.4378, 28.0485 Å; angles 90.00, 90.00, 120.00 degrees
Space group R-3m (No. 166, hexagonal axes)
One atom of each set of equivalent atoms:
1 Pm 0.0000 0.0000 0.0000 x3
2 Sm 0.0000 0.0000 0.1242 x6
3 Ga 0.0000 0.0000 0.2638 x6
4 Cu 0.0000 0.0000 0.3987 x6

Summary:
As for the volume: 159.46 Å³/f.u. The value obtained for the formation energy is -0.380 eV/atom. Its total energy is -93.29 eV per cell.